This record from Alexandria describes crystalline CsVZn at its relaxed geometry. The functional is GGA-PBE.

Unit cell a=4.2689 b=4.2769 c=12.6610 alpha=93.94 beta=96.68 gamma=107.38
Fractional positions:
Cs 0.0000 0.0000 0.0000
Cs 0.3112 0.4193 0.6109
V 0.4983 0.0055 0.3141
V 0.7730 0.7868 0.3850
Zn 0.1162 0.3864 0.3242
Zn 0.6304 0.5262 0.1911

Properties
The energy above the most stable polymorph in this dataset comes out at 96.4 meV per atom. Its calculated total energy is -19.5 eV per cell. Its energy relative to the elements is 0.51 eV per atom. As for the spin magnetization: 0.070 Bohr magnetons per cell. Its symmetry is P1.